This record from Alexandria via LeMat-Bulk describes an optimized crystal structure of Y2AlCoBi. The functional is PBE.

Geometry as CIF:
```
data_Y2AlCoBi
_chemical_formula_sum 'Y2 Al1 Co1 Bi1'
_cell_length_a 5.182
_cell_length_b 5.182
_cell_length_c 4.593
_cell_angle_alpha 90.00
_cell_angle_beta 90.00
_cell_angle_gamma 90.00
_symmetry_space_group_name_H-M 'P 4/m m m'
_symmetry_Int_Tables_number 123
_symmetry_space_group_name_Hall '-P 4 2'
loop_
_atom_site_label
_atom_site_fract_x
_atom_site_fract_y
_atom_site_fract_z
_atom_site_occupancy
Y1 0.000 0.500 0.000 1
Al1 0.000 0.000 0.500 1
Co1 0.000 0.000 0.000 1
Bi1 0.500 0.500 0.500 1
```

**Total energy**: -5.9415 eV per atom